Computed, not measured: a relaxed structure of Sb2MoH4 at the PBE level of DFT.

It has space group I4/mmm (No. 139), with a = 3.5625 Å, b = 3.5625 Å, c = 13.0055 Å, α = 90.00°, β = 90.00° and γ = 90.00°. Symmetry generates all atoms from Sb at (0.0000, 0.0000, 0.1464), Mo at (0.0000, 0.0000, 0.5000), H at (0.0000, 0.0000, 0.3599) and H at (0.0000, 0.5000, 0.0000).

The value obtained for the electronic total energy is -4.24 eV per atom.

=====

Computed, not measured: a relaxed structure of Dy4Mg5Ni2 at the PBE level of DFT.

It has space group P2/m (No. 10), with a = 7.9184 Å, b = 3.5374 Å, c = 9.6087 Å, α = 90.00°, β = 93.83° and γ = 90.00°. Symmetry generates all atoms from Dy at (0.1643, 0.0000, 0.3384), Dy at (0.2053, 0.0000, 0.9483), Mg at (0.1797, 0.5000, 0.6478), Mg at (0.4547, 0.5000, 0.1735), Mg at (0.5000, 0.5000, 0.5000) and Ni at (0.0629, 0.5000, 0.1342).

The value obtained for the electronic total energy is -3.65 eV per atom. The value obtained for the energy of formation is -2.16 eV per formula unit.

=====

Computed, not measured: a relaxed structure of Dy2Ho3Sb2 at the PBE level of DFT.

It has space group C2/m (No. 12), with a = 12.0559 Å, b = 4.2398 Å, c = 8.4424 Å, α = 90.00°, β = 108.81° and γ = 90.00°. Symmetry generates all atoms from Dy at (0.1313, 0.0000, 0.2838), Ho at (0.0000, 0.5000, 0.5000), Ho at (0.1256, 0.5000, 0.9455) and Sb at (0.1742, 0.0000, 0.6931).

For the energy relative to the elements, uncorrected, the calculation gives -4.41 eV per formula unit. The value obtained for the electronic total energy is -5.08 eV per atom.

=====

Computed, not measured: a relaxed structure of Dy2BeGePd6 at the PBE level of DFT.

It has space group C2/m (No. 12), with a = 9.8701 Å, b = 5.7793 Å, c = 7.1365 Å, α = 90.00°, β = 117.90° and γ = 90.00°. Symmetry generates all atoms from Dy at (0.2314, 0.0000, 0.2933), Be at (0.0000, 0.5000, 0.0000), Ge at (0.0000, 0.0000, 0.5000), Pd at (0.0714, 0.2434, 0.8376) and Pd at (0.2201, 0.5000, 0.2733).

The value obtained for the electronic total energy is -5.54 eV per atom. The value obtained for the energy of formation is -6.70 eV per formula unit.

=====

Computed, not measured: a relaxed structure of CoOs2 at the PBE level of DFT.

It has space group Pnma (No. 62), with a = 5.1289 Å, b = 3.9860 Å, c = 7.6895 Å, α = 90.00°, β = 90.00° and γ = 90.00°. Symmetry generates all atoms from Co at (0.2018, 0.2500, 0.1215), Os at (0.0689, 0.2500, 0.7870) and Os at (0.1839, 0.2500, 0.4446).

The value obtained for the electronic total energy is -9.66 eV per atom. The value obtained for the energy of formation is 0.59 eV per formula unit.

=====

Computed, not measured: a relaxed structure of Pd3PbBr at the PBE level of DFT.

It has space group Pm-3m (No. 221), with a = 4.8513 Å, b = 4.8513 Å, c = 4.8513 Å, α = 90.00°, β = 90.00° and γ = 90.00°. Symmetry generates all atoms from Pd at (0.0000, 0.0000, 0.5000), Pb at (0.5000, 0.5000, 0.5000) and Br at (0.0000, 0.0000, 0.0000).

For the energy relative to the elements, uncorrected, the calculation gives 1.66 eV per formula unit. The value obtained for the electronic total energy is -3.86 eV per atom.

=====

Computed, not measured: a relaxed structure of BaMgSi2Tc at the PBE level of DFT.

It has space group P4/mmm (No. 123), with a = 4.7361 Å, b = 4.7361 Å, c = 5.0825 Å, α = 90.00°, β = 90.00° and γ = 90.00°. Symmetry generates all atoms from Ba at (0.0000, 0.0000, 0.0000), Mg at (0.5000, 0.5000, 0.0000), Si at (0.0000, 0.5000, 0.5000) and Tc at (0.5000, 0.5000, 0.5000).

For the energy relative to the elements, uncorrected, the calculation gives -1.17 eV per formula unit. The value obtained for the electronic total energy is -5.18 eV per atom.

=====

Computed, not measured: a relaxed structure of PmZnGaPt at the PBE level of DFT.

It has space group F-43m (No. 216), with a = 6.6695 Å, b = 6.6695 Å, c = 6.6695 Å, α = 90.00°, β = 90.00° and γ = 90.00°. Symmetry generates all atoms from Pm at (0.0000, 0.0000, 0.0000), Zn at (0.2500, 0.2500, 0.7500), Ga at (0.2500, 0.2500, 0.2500) and Pt at (0.0000, 0.0000, 0.5000).

The value obtained for the electronic total energy is -4.41 eV per atom. The value obtained for the energy of formation is -2.55 eV per formula unit.

=====

Computed, not measured: a relaxed structure of Sr3Ga3Si2 at the PBE level of DFT.

It has space group Cmcm (No. 63), with a = 4.1990 Å, b = 12.0844 Å, c = 16.4055 Å, α = 90.00°, β = 90.00° and γ = 90.00°. Symmetry generates all atoms from Sr at (0.0000, 0.0377, 0.2500), Sr at (0.0000, 0.3404, 0.0921), Ga at (0.0000, 0.0668, 0.0557), Ga at (0.0000, 0.2386, 0.7500) and Si at (0.0000, 0.3643, 0.6189).

For the energy relative to the elements, uncorrected, the calculation gives -3.68 eV per formula unit. The value obtained for the electronic total energy is -3.58 eV per atom.

=====

Computed, not measured: a relaxed structure of Ti6AlPd at the PBE level of DFT.

It has space group C2/m (No. 12), with a = 5.4751 Å, b = 9.1796 Å, c = 5.2922 Å, α = 90.00°, β = 98.86° and γ = 90.00°. Symmetry generates all atoms from Ti at (0.1338, 0.2364, 0.2375), Ti at (0.2485, 0.0000, 0.9680), Al at (0.0000, 0.5000, 0.5000) and Pd at (0.0000, 0.0000, 0.5000).

The value obtained for the electronic total energy is -7.26 eV per atom. The value obtained for the energy of formation is -1.77 eV per formula unit.

=====

Computed, not measured: a relaxed structure of LiIn3Cu at the PBE level of DFT.

It has space group Pmmn (No. 59, origin choice 2), with a = 4.5519 Å, b = 5.9840 Å, c = 8.1182 Å, α = 90.00°, β = 90.00° and γ = 90.00°. Symmetry generates all atoms from Li at (0.2500, 0.2500, 0.2194), In at (0.2500, 0.0010, 0.6493), In at (0.2500, 0.7500, 0.0291) and Cu at (0.2500, 0.7500, 0.3550).

The value obtained for the electronic total energy is -2.87 eV per atom. The value obtained for the energy of formation is -0.14 eV per formula unit.

=====

Q: Number 1 is which compound?
A: Sb2MoH4

=====

Q: The highest electronic total energy belongs to which entry?
A: LiIn3Cu

=====

Q: What is the formula in the sixth record?
A: Pd3PbBr